(1)
Tm2PuTc: optimized geometry, PBE.

ΔE_f in eV per atom: 0.04
DOS at the Fermi energy in states/eV/f.u.: 9.8
E above lowest polymorph in meV per atom: 152.9
Symmetry: P4/mmm (123)

Cell: 3.390 3.390 8.574 Å, 90.00 90.00 90.00°
Site moments in Bohr magnetons follow the coordinates.
Element x y z (fractional)
Tc  0.500  0.500  0.000  0.29
Pu  0.500  0.500  0.500  5.80
Tm  0.000  0.000  0.809  0.18
Tm  0.000  0.000  0.191  0.18

(2)
TmPuTc2: optimized geometry, PBE.

ΔE_f in eV per atom: -0.04
DOS at the Fermi energy in states/eV/f.u.: 7.2
E above lowest polymorph in meV per atom: 0.0
Symmetry: P4/mmm (123)

Cell: 3.349 3.349 6.855 Å, 90.00 90.00 90.00°
Site moments in Bohr magnetons follow the coordinates.
Element x y z (fractional)
Tc  0.000  0.000  0.222  -0.63
Tc  0.000  0.000  0.778  -0.63
Pu  0.500  0.500  0.000  4.26
Tm  0.500  0.500  0.500  0.01

(3)
TmPuTc4: optimized geometry, PBE.

ΔE_f in eV per atom: -0.06
DOS at the Fermi energy in states/eV/f.u.: 11.3
Symmetry: F-43m (216)

Cell: 5.374 5.374 5.374 Å, 60.00 60.00 60.00°
Site moments in Bohr magnetons follow the coordinates.
Element x y z (fractional)
Tc  0.625  0.625  0.625  0.12
Tc  0.124  0.625  0.625  0.12
Tc  0.625  0.124  0.625  0.12
Tc  0.625  0.625  0.124  0.12
Tm  0.000  0.000  0.000  0.10
Pu  0.250  0.250  0.250  4.99

(4)
TmPuTc2: optimized geometry, PBE.

ΔE_f in eV per atom: -0.02
DOS at the Fermi energy in states/eV/f.u.: 5.4
E above lowest polymorph in meV per atom: 19.3
Symmetry: Fm-3m (225)

Cell: 4.757 4.757 4.757 Å, 60.00 60.00 60.00°
Site moments in Bohr magnetons follow the coordinates.
Element x y z (fractional)
Tc  0.250  0.250  0.250  -0.67
Tc  0.750  0.750  0.750  -0.67
Pu  0.500  0.500  0.500  4.55
Tm  0.000  0.000  0.000  -0.10

(5)
Tm2PuTc: optimized geometry, PBE.

ΔE_f in eV per atom: -0.12
DOS at the Fermi energy in states/eV/f.u.: 8.4
E above lowest polymorph in meV per atom: 0.0
Symmetry: Pnma (62)

Cell: 6.173 7.125 9.287 Å, 90.00 90.00 90.00°
Site moments in Bohr magnetons follow the coordinates.
Element x y z (fractional)
Tm  0.831  0.323  0.565  0.19
Tm  0.831  0.323  0.935  0.19
Tm  0.669  0.823  0.935  0.19
Tm  0.669  0.823  0.565  0.19
Tm  0.331  0.177  0.065  0.19
Tm  0.331  0.177  0.435  0.19
Tm  0.169  0.677  0.065  0.19
Tm  0.169  0.677  0.435  0.19
Tc  0.500  0.866  0.250  -0.49
Tc  0.000  0.634  0.750  -0.49
Tc  0.000  0.366  0.250  -0.49
Tc  0.500  0.134  0.750  -0.49
Pu  0.852  0.044  0.250  4.95
Pu  0.648  0.544  0.250  4.95
Pu  0.148  0.956  0.750  4.95
Pu  0.352  0.456  0.750  4.95

(6)
PuU2Tc3: optimized geometry, PBE.

ΔE_f in eV per atom: 0.03
DOS at the Fermi energy in states/eV/f.u.: 17.0
Symmetry: C2/m (12)

Cell: 5.925 8.134 7.193 Å, 124.55 114.32 90.00°
Site moments in Bohr magnetons follow the coordinates.
Element x y z (fractional)
U  0.167  0.917  0.833  0.53
U  0.167  0.417  0.833  0.53
U  0.833  0.583  0.167  0.53
U  0.833  0.083  0.167  0.53
Tc  0.000  0.250  0.000  -0.19
Tc  0.500  0.250  0.000  -0.19
Tc  0.000  0.500  0.500  -0.19
Tc  0.000  0.750  0.000  -0.19
Tc  0.500  0.750  0.000  -0.19
Tc  0.000  0.000  0.500  -0.19
Pu  0.500  0.250  0.500  5.29
Pu  0.500  0.750  0.500  5.29

(7)
PuU2Tc: optimized geometry, PBE.

ΔE_f in eV per atom: 0.11
DOS at the Fermi energy in states/eV/f.u.: 7.5
E above lowest polymorph in meV per atom: 146.8
Symmetry: Cmcm (63)

Cell: 3.365 6.247 7.207 Å, 90.00 90.00 105.63°
Element x y z (fractional)
Tc  0.036  0.071  0.750
Tc  0.964  0.929  0.250
U  0.636  0.271  0.477
U  0.636  0.271  0.023
U  0.364  0.729  0.977
U  0.364  0.729  0.523
Pu  0.775  0.550  0.750
Pu  0.225  0.450  0.250

(8)
PuU3Tc3: optimized geometry, PBE.

ΔE_f in eV per atom: 0.17
DOS at the Fermi energy in states/eV/f.u.: 13.1
E above lowest polymorph in meV per atom: 220.3
Symmetry: R3m (160)

Cell: 5.490 5.672 5.672 Å, 110.11 108.82 108.82°
Element x y z (fractional)
Tc  0.964  0.000  0.469
Tc  0.496  0.531  0.531
Tc  0.964  0.469  0.000
U  0.434  0.353  0.000
U  0.082  0.647  0.647
U  0.434  0.000  0.353
Pu  0.600  0.000  0.000

(9)
PuU2Tc: optimized geometry, PBE.

ΔE_f in eV per atom: -0.04
DOS at the Fermi energy in states/eV/f.u.: 8.1
E above lowest polymorph in meV per atom: 0.0
Symmetry: Immm (71)

Cell: 3.394 5.260 8.304 Å, 90.00 90.00 90.00°
Site moments in Bohr magnetons follow the coordinates.
Element x y z (fractional)
U  0.750  0.250  0.014  -0.09
U  0.250  0.750  0.986  -0.09
U  0.250  0.750  0.514  -0.09
U  0.750  0.250  0.486  -0.09
Pu  0.250  0.250  0.250  2.26
Pu  0.750  0.750  0.750  2.26
Tc  0.250  0.250  0.750  -0.05
Tc  0.750  0.750  0.250  -0.05

(10)
PuU2Tc: optimized geometry, PBE.

ΔE_f in eV per atom: 0.14
DOS at the Fermi energy in states/eV/f.u.: 9.2
E above lowest polymorph in meV per atom: 176.3
Symmetry: P4/mmm (123)

Cell: 3.341 3.341 6.733 Å, 90.00 90.00 90.00°
Site moments in Bohr magnetons follow the coordinates.
Element x y z (fractional)
U  0.000  0.000  0.260  -0.72
U  0.000  0.000  0.740  -0.72
Pu  0.500  0.500  0.500  3.12
Tc  0.500  0.500  0.000  0.04

(11)
Pu2UTc: optimized geometry, PBE.

ΔE_f in eV per atom: 0.84
DOS at the Fermi energy in states/eV/f.u.: 9.7
E above lowest polymorph in meV per atom: 733.2
Symmetry: R-3m (166)

Cell: 3.495 3.495 8.220 Å, 77.73 77.73 60.00°
Site moments in Bohr magnetons follow the coordinates.
Element x y z (fractional)
U  0.500  0.500  0.500  -0.45
Tc  0.000  0.000  0.000  -0.83
Pu  0.900  0.900  0.301  3.38
Pu  0.100  0.100  0.699  3.38

(12)
Pu2UTc: optimized geometry, PBE.

ΔE_f in eV per atom: 0.11
DOS at the Fermi energy in states/eV/f.u.: 10.4
E above lowest polymorph in meV per atom: 0.0
Symmetry: P4/mmm (123)

Cell: 3.359 3.359 7.022 Å, 90.00 90.00 90.00°
Site moments in Bohr magnetons follow the coordinates.
Element x y z (fractional)
Pu  0.000  0.000  0.763  4.62
Pu  0.000  0.000  0.237  4.62
U  0.500  0.500  0.500  0.23
Tc  0.500  0.500  0.000  -0.51